Crystalline Li2CuP4O12 at its relaxed geometry. Source: Alexandria via LeMat-Bulk, functional PBE.

- ΔE_f (raw) (eV/atom) = -2.013

Unit cell a=9.3879 b=13.2852 c=8.7437 alpha=90.00 beta=100.07 gamma=90.00
Space group Cc (No. 9)
Inequivalent atoms, fractional coordinates:
Li  0.0000  0.1882  0.0000 (multiplicity 4)
Li  0.3695  0.1920  0.6586 (multiplicity 4)
Cu  0.1906  0.3767  0.3312 (multiplicity 4)
P  0.0340  0.2054  0.4815 (multiplicity 4)
P  0.0542  0.4127  0.8955 (multiplicity 4)
P  0.3272  0.1964  0.1824 (multiplicity 4)
P  0.3274  0.4135  0.7663 (multiplicity 4)
O  0.0224  0.3505  0.0288 (multiplicity 4)
O  0.0446  0.2744  0.3439 (multiplicity 4)
O  0.0736  0.4754  0.4188 (multiplicity 4)
O  0.1631  0.1781  0.5967 (multiplicity 4)
O  0.1863  0.1559  0.1053 (multiplicity 4)
O  0.1920  0.3647  0.8333 (multiplicity 4)
O  0.3083  0.4745  0.2453 (multiplicity 4)
O  0.3379  0.2729  0.3149 (multiplicity 4)
O  0.3528  0.3520  0.6298 (multiplicity 4)
O  0.4062  0.2447  0.0536 (multiplicity 4)
O  0.4285  0.1021  0.2462 (multiplicity 4)
O  0.4580  0.3976  0.9106 (multiplicity 4)


Crystalline LiCuP2O at its relaxed geometry. Source: Alexandria via LeMat-Bulk, functional PBE.

- ΔE_f (raw) (eV/atom) = 0.339

Unit cell a=4.7277 b=4.7277 c=3.5782 alpha=90.00 beta=90.00 gamma=90.00
Space group P4/mmm (No. 123)
Inequivalent atoms, fractional coordinates:
Li  0.0000  0.0000  0.0000 (multiplicity 1)
Cu  0.5000  0.5000  0.5000 (multiplicity 1)
P  0.0000  0.5000  0.5000 (multiplicity 2)
O  0.5000  0.5000  0.0000 (multiplicity 1)


no.,final energy (hartree per atom),ρ (g cm⁻³),ΔE to the lowest computed polymorph (meV/atom)
1,-0.2462,2.43,29
2,-0.1477,3.08,0